Entry one
Computed, not measured: a relaxed structure of Sr2Sb2Rh at the PBE level of DFT.

Cell lengths 7.340, 7.340, 5.109 Å; angles 90.00, 90.00, 90.00 degrees
Positions (direct):
Sr1 0.832 0.332 0.500
Sr2 0.668 0.832 0.500
Sr3 0.332 0.168 0.500
Rh1 0.500 0.500 0.000
Sb1 0.648 0.148 0.000
Sb2 0.852 0.648 0.000
Sb3 0.352 0.852 0.000
Sb4 0.148 0.352 0.000
Sr4 0.168 0.668 0.500
Rh2 0.000 0.000 0.000



Entry two
Computed, not measured: a relaxed structure of Sr2Sb2Rh at the PBE level of DFT.

Cell lengths 4.633, 6.373, 10.839 Å; angles 86.61, 77.66, 68.69 degrees
Positions (direct):
Sb1 0.659 0.821 0.861
Sb2 0.341 0.179 0.139
Sr1 0.347 0.647 0.659
Rh1 0.359 0.932 0.350
Rh2 0.641 0.068 0.650
Sr2 0.936 0.240 0.888
Sb3 0.116 0.208 0.561
Sb4 0.884 0.792 0.439
Sr3 0.653 0.353 0.341
Sr4 0.064 0.760 0.112



The structure with the greatest stability is entry two.



Entry one
Computed, not measured: a relaxed structure of SrSb2Rh3 at the PBE level of DFT.

Cell lengths 4.262, 8.947, 10.466 Å; angles 106.46, 90.00, 103.78 degrees
Positions (direct):
Rh1 0.500 0.000 0.500
Sb1 0.807 0.615 0.874
Rh2 0.320 0.640 0.035
Rh3 0.680 0.360 0.965
Rh4 0.044 0.088 0.334
Rh5 0.956 0.912 0.666
Sr1 0.163 0.325 0.705
Rh6 0.214 0.428 0.392
Rh7 0.622 0.244 0.205
Sb2 0.464 0.928 0.223
Sb3 0.193 0.385 0.126
Sb4 0.536 0.072 0.777
Rh8 0.786 0.572 0.608
Sb5 0.360 0.719 0.543
Sr2 0.837 0.675 0.295
Rh9 0.378 0.756 0.795
Sb6 0.640 0.281 0.457
Sr3 0.000 0.000 0.000



Entry two
Computed, not measured: a relaxed structure of SrSb2Rh3 at the PBE level of DFT.

Cell lengths 4.321, 8.539, 8.038 Å; angles 114.43, 90.00, 104.66 degrees
Positions (direct):
Rh1 0.960 0.920 0.621
Rh2 0.040 0.080 0.379
Sb1 0.480 0.960 0.803
Rh3 0.592 0.183 0.658
Sb2 0.520 0.040 0.197
Sr1 0.151 0.303 0.073
Rh4 0.408 0.817 0.342
Sr2 0.849 0.697 0.927
Rh5 0.686 0.372 0.440
Rh6 0.314 0.628 0.560
Sb3 0.188 0.376 0.676
Sb4 0.812 0.624 0.324



The structure with the greatest stability is entry one.



Entry one
Computed, not measured: a relaxed structure of SrSb3Rh3 at the PBE level of DFT.

Cell lengths 7.218, 7.218, 7.218 Å; angles 90.00, 90.00, 90.00 degrees
Positions (direct):
Sb1 0.500 0.000 0.750
Rh1 0.750 0.000 0.500
Rh2 0.500 0.250 0.000
Sb2 0.750 0.500 0.000
Sb3 0.500 0.000 0.250
Sr1 0.000 0.000 0.000
Sb4 0.000 0.250 0.500
Rh3 0.500 0.750 0.000
Sb5 0.250 0.500 0.000
Rh4 0.250 0.000 0.500
Sr2 0.500 0.500 0.500
Sb6 0.000 0.750 0.500
Rh5 0.000 0.500 0.250
Rh6 0.000 0.500 0.750



Entry two
Computed, not measured: a relaxed structure of SrSb3Rh3 at the PBE level of DFT.

Cell lengths 7.251, 7.251, 8.722 Å; angles 65.44, 65.44, 60.00 degrees
Positions (direct):
Rh1 0.524 0.778 0.622
Sb1 0.216 0.637 0.281
Sb2 0.784 0.363 0.719
Rh2 0.778 0.076 0.622
Rh3 0.924 0.476 0.378
Sb3 0.637 0.866 0.281
Sr1 0.675 0.675 0.975
Rh4 0.222 0.924 0.378
Sb4 0.866 0.216 0.281
Rh5 0.076 0.524 0.622
Sb5 0.363 0.134 0.719
Sb6 0.134 0.784 0.719
Rh6 0.476 0.222 0.378
Sr2 0.325 0.325 0.025



The structure with the greatest stability is entry two.



Entry one
Computed, not measured: a relaxed structure of Sr3Sb4Rh4 at the PBE level of DFT.

Cell lengths 7.084, 7.084, 7.084 Å; angles 109.47, 109.47, 109.47 degrees
Positions (direct):
Rh1 0.274 0.000 0.000
Sr1 0.000 0.500 0.500
Rh2 0.726 0.726 0.726
Sb1 0.000 0.633 0.000
Rh3 0.000 0.274 0.000
Sb2 0.367 0.367 0.367
Rh4 0.000 0.000 0.274
Sr2 0.500 0.500 0.000
Sb3 0.000 0.000 0.633
Sb4 0.633 0.000 0.000
Sr3 0.500 0.000 0.500



Entry two
Computed, not measured: a relaxed structure of Sr3Sb4Rh4 at the PBE level of DFT.

Cell lengths 4.499, 4.528, 13.764 Å; angles 80.52, 80.56, 90.13 degrees
Positions (direct):
Sb1 0.445 0.447 0.109
Rh1 0.751 0.752 0.498
Sb2 0.803 0.303 0.395
Sr1 0.354 0.854 0.294
Sr2 0.000 0.000 0.000
Sb3 0.555 0.553 0.891
Sr3 0.646 0.146 0.706
Rh2 0.102 0.600 0.798
Sb4 0.197 0.697 0.605
Rh3 0.249 0.248 0.502
Rh4 0.898 0.400 0.202



The structure with the greatest stability is entry two.



Entry one
Computed, not measured: a relaxed structure of Sr2TlSbRh at the PBE level of DFT.

Cell lengths 5.791, 5.791, 5.027 Å; angles 90.00, 90.00, 90.00 degrees
Positions (direct):
Sb1 0.000 0.000 0.500
Tl1 0.500 0.500 0.500
Rh1 0.000 0.000 0.000
Sr1 0.000 0.500 0.000
Sr2 0.500 0.000 0.000



Entry two
Computed, not measured: a relaxed structure of Sr2TlSbRh at the PBE level of DFT.

Cell lengths 6.185, 6.185, 5.500 Å; angles 90.00, 90.00, 90.00 degrees
Positions (direct):
Sr1 0.500 0.000 0.000
Tl1 0.000 0.000 0.500
Rh1 0.500 0.500 0.500
Sr2 0.000 0.500 0.000
Sb1 0.000 0.000 0.000



The structure with the greatest stability is entry one.



Entry one
Computed, not measured: a relaxed structure of TaSb3Rh at the PBE level of DFT.

Cell lengths 5.270, 5.270, 5.270 Å; angles 90.00, 90.00, 90.00 degrees
Positions (direct):
Sb1 0.000 0.500 0.000
Sb2 0.000 0.000 0.500
Rh1 0.500 0.500 0.500
Sb3 0.500 0.000 0.000
Ta1 0.000 0.000 0.000



Entry two
Computed, not measured: a relaxed structure of TaSb3Rh at the PBE level of DFT.

Cell lengths 5.057, 5.057, 5.057 Å; angles 90.00, 90.00, 90.00 degrees
Positions (direct):
Ta1 0.500 0.500 0.500
Sb1 0.000 0.000 0.500
Sb2 0.000 0.500 0.000
Sb3 0.500 0.000 0.000
Rh1 0.000 0.000 0.000



The structure with the greatest stability is entry one.